# 1
! NpGaCoRh | the Alexandria database | PBE | optimized geometry; values from VASP
! * volume: 65.19 Å³/cell
! * ΔH_f (0 K): -0.240 eV/atom
&SYSTEM
  ibrav = 0, nat = 4, ntyp = 4
/
ATOMIC_SPECIES
Rh 102.91 Rh.upf
Ga 69.72 Ga.upf
Co 58.93 Co.upf
Np 237.00 Np.upf
CELL_PARAMETERS angstrom
-0.640 -3.412 2.891
1.281 -4.184 -1.124
3.539 -1.909 2.060
ATOMIC_POSITIONS angstrom
Rh 0.000 0.000 0.000
Ga 1.045 -2.376 0.957
Co 2.090 -4.752 1.913
Np 3.135 -7.128 2.870

---

# 2
! NpGaCoTc | the Alexandria database | PBE | optimized geometry; values from VASP
! * volume: 63.18 Å³/cell
! * ΔH_f (0 K): -0.067 eV/atom
&SYSTEM
  ibrav = 0, nat = 4, ntyp = 4
/
ATOMIC_SPECIES
Tc 98.00 Tc.upf
Co 58.93 Co.upf
Np 237.00 Np.upf
Ga 69.72 Ga.upf
CELL_PARAMETERS angstrom
4.471 0.000 0.000
2.235 3.872 0.000
2.235 1.291 3.650
ATOMIC_POSITIONS angstrom
Tc 4.471 2.581 1.825
Co 0.000 0.000 0.000
Np 6.706 3.872 2.738
Ga 2.235 1.291 0.913

---

Copy entry 2 word for word.
! NpGaCoTc | the Alexandria database | PBE | optimized geometry; values from VASP
! * volume: 63.18 Å³/cell
! * ΔH_f (0 K): -0.067 eV/atom
&SYSTEM
  ibrav = 0, nat = 4, ntyp = 4
/
ATOMIC_SPECIES
Tc 98.00 Tc.upf
Co 58.93 Co.upf
Np 237.00 Np.upf
Ga 69.72 Ga.upf
CELL_PARAMETERS angstrom
4.471 0.000 0.000
2.235 3.872 0.000
2.235 1.291 3.650
ATOMIC_POSITIONS angstrom
Tc 4.471 2.581 1.825
Co 0.000 0.000 0.000
Np 6.706 3.872 2.738
Ga 2.235 1.291 0.913

---

Question: ΔH_f (0 K) of number 2 (NpGaCoTc)?
Answer: -0.067 eV/atom